# La3Nd2Co2

A relaxed structure of La3Nd2Co2 (GGA-PBE, Alexandria).

The structure in POSCAR format:
```
La3Nd2Co2
1.0
3.756 -0.002 -0.842
-2.305 5.898 -1.472
0.010 0.434 8.832
Co Nd La
2 2 3
direct
0.072 0.894 0.251
0.928 0.106 0.749
0.369 0.547 0.192
0.631 0.453 0.808
0.805 0.190 0.420
0.500 0.000 0.000
0.195 0.810 0.580
```

uncorrected energy	-39.03	eV per cell
energy of formation from the pure elements	-72	meV/atom
symmetry	No. 12